NaSn3Ir2 | Alexandria via LeMat-Bulk | PBE-GGA | relaxed; formation enthalpy at 0 K = -0.2 eV per formula unit; E_tot = -5.202 eV per atom; V = 277.2 Å³ per cell
1.0
-5.358 -4.152 1.630
3.350 -5.804 -3.774
3.427 3.555 5.411
Na Sn Ir
2 6 4
Direct
0.429 0.250 0.500
0.571 0.750 0.500
0.000 0.704 0.000
0.000 0.296 0.000
0.500 0.796 0.000
0.000 0.000 0.500
0.000 0.500 0.500
0.500 0.204 0.000
0.138 0.940 0.880
0.242 0.440 0.880
0.758 0.560 0.120
0.862 0.060 0.120



NaSn3Ir | Alexandria via LeMat-Bulk | PBE-GGA | relaxed; distance to the lowest polymorph of the same formula = 0 meV/atom; formation enthalpy at 0 K = -1.0 eV per formula unit; E_tot = -4.637 eV per atom; V = 477.8 Å³ per cell
1.0
-2.612 -1.116 3.395
3.643 -7.973 0.181
8.524 4.074 7.896
Na Sn Ir
4 12 4
Direct
0.750 0.819 0.996
0.250 0.681 0.496
0.750 0.319 0.504
0.250 0.181 0.004
0.250 0.570 0.077
0.750 0.430 0.923
0.250 0.070 0.423
0.750 0.930 0.577
0.250 0.391 0.683
0.750 0.109 0.183
0.250 0.891 0.817
0.750 0.640 0.715
0.250 0.360 0.285
0.750 0.140 0.785
0.750 0.609 0.317
0.250 0.860 0.215
0.250 0.089 0.647
0.250 0.589 0.853
0.750 0.411 0.147
0.750 0.911 0.353



NaSn5Ir3 | Alexandria via LeMat-Bulk | PBE-GGA | relaxed; formation enthalpy at 0 K = -0.6 eV per formula unit; E_tot = -5.390 eV per atom; V = 455.7 Å³ per cell
1.0
-6.407 3.625 -1.582
-0.819 -0.521 -7.467
-7.429 -5.746 -3.005
Na Sn Ir
2 10 6
Direct
0.114 0.114 0.675
0.886 0.886 0.325
0.931 0.370 0.334
0.296 0.704 0.000
0.775 0.775 0.013
0.412 0.412 0.367
0.588 0.588 0.633
0.225 0.225 0.987
0.370 0.931 0.334
0.704 0.296 0.000
0.069 0.630 0.666
0.630 0.069 0.666
0.688 0.688 0.814
0.642 0.642 0.327
0.000 0.000 0.000
0.000 0.000 0.500
0.312 0.312 0.186
0.358 0.358 0.673



NaSn2Ir2 | Alexandria via LeMat-Bulk | PBE-GGA | relaxed; distance to the lowest polymorph of the same formula = 82 meV/atom; formation enthalpy at 0 K = -0.5 eV per formula unit; E_tot = -5.510 eV per atom; V = 110.5 Å³ per cell
1.0
4.334 0.000 0.000
0.000 4.334 0.000
2.167 2.167 5.883
Na Ir Sn
1 2 2
Direct
0.000 0.000 0.000
0.750 0.250 0.500
0.250 0.750 0.500
0.376 0.376 0.249
0.624 0.624 0.751



NaSn2Ir2 | Alexandria via LeMat-Bulk | PBE-GGA | relaxed; distance to the lowest polymorph of the same formula = 0 meV/atom; formation enthalpy at 0 K = -0.9 eV per formula unit; E_tot = -5.592 eV per atom; V = 189.6 Å³ per cell
1.0
7.922 0.000 0.000
0.000 7.922 0.000
0.000 0.000 3.020
Na Ir Sn
2 4 4
Direct
0.000 0.000 0.000
0.500 0.500 0.000
0.361 0.861 0.000
0.861 0.639 0.000
0.639 0.139 0.000
0.139 0.361 0.000
0.157 0.657 0.500
0.657 0.843 0.500
0.843 0.343 0.500
0.343 0.157 0.500



NaSnIr3 | Alexandria via LeMat-Bulk | PBE-GGA | relaxed; distance to the lowest polymorph of the same formula = 385 meV/atom; formation enthalpy at 0 K = 9.4 eV per formula unit; E_tot = -4.495 eV per atom; V = 92.5 Å³ per cell
1.0
4.523 0.000 0.000
0.000 4.523 0.000
0.000 0.000 4.523
Na Ir Sn
1 3 1
Direct
0.000 0.000 0.000
0.000 0.500 0.000
0.000 0.000 0.500
0.500 0.000 0.000
0.500 0.500 0.500



NaSn2Ir | Alexandria via LeMat-Bulk | PBE-GGA | relaxed; formation enthalpy at 0 K = -0.8 eV per formula unit; E_tot = -4.741 eV per atom; V = 94.7 Å³ per cell
1.0
-1.166 0.387 -4.230
0.034 -3.536 -2.626
-5.736 -2.125 -0.907
Na Sn Ir
1 2 1
Direct
0.494 0.494 0.519
0.060 0.060 0.821
0.275 0.275 0.176
0.672 0.672 0.983



NaSnIr3 | Alexandria via LeMat-Bulk | PBE-GGA | relaxed; distance to the lowest polymorph of the same formula = 0 meV/atom; formation enthalpy at 0 K = 7.5 eV per formula unit; E_tot = -4.879 eV per atom; V = 121.1 Å³ per cell
1.0
-4.638 -1.286 -1.146
-0.991 -0.701 4.796
-1.409 4.726 0.400
Na Ir Sn
1 3 1
Direct
0.500 0.500 0.500
0.000 0.500 0.000
0.000 0.000 0.500
0.500 0.000 0.000
0.000 0.000 0.000



NaSn2Ir | Alexandria via LeMat-Bulk | PBE-GGA | relaxed; formation enthalpy at 0 K = -0.6 eV per formula unit; E_tot = -4.689 eV per atom; V = 89.5 Å³ per cell
1.0
-1.651 -0.898 -2.666
2.248 -2.279 -0.625
-4.364 -5.558 4.574
Na Ir Sn
1 1 2
Direct
0.500 0.500 0.500
0.500 0.500 0.000
0.000 0.000 0.800
0.000 0.000 0.200



NaSn3Ir | Alexandria via LeMat-Bulk | PBE-GGA | relaxed; distance to the lowest polymorph of the same formula = 326 meV/atom; formation enthalpy at 0 K = 0.6 eV per formula unit; E_tot = -4.311 eV per atom; V = 143.5 Å³ per cell
1.0
-0.725 3.794 -3.534
-4.942 -1.585 -0.687
-1.568 3.241 3.801
Na Ir Sn
1 1 3
Direct
0.500 0.500 0.500
0.000 0.000 0.000
0.000 0.500 0.000
0.000 0.000 0.500
0.500 0.000 0.000



NaSn2Ir | Alexandria via LeMat-Bulk | PBE-GGA | relaxed; formation enthalpy at 0 K = -0.3 eV per formula unit; E_tot = -4.629 eV per atom; V = 77.6 Å³ per cell
1.0
-0.844 -3.825 2.753
-0.697 0.544 4.705
-4.353 -0.690 1.871
Na Ir Sn
1 1 2
Direct
0.000 0.000 0.000
0.500 0.500 0.500
0.250 0.250 0.250
0.750 0.750 0.750



NaSn2Ir | Alexandria via LeMat-Bulk | PBE-GGA | relaxed; formation enthalpy at 0 K = 0.8 eV per formula unit; E_tot = -4.357 eV per atom; V = 261.0 Å³ per cell
1.0
-1.449 -0.604 -5.461
-0.308 -5.630 0.704
-8.685 -2.439 -0.381
Na Ir Sn
2 2 4
Direct
0.500 0.500 0.000
0.250 0.750 0.500
0.000 0.000 0.000
0.750 0.250 0.500
0.761 0.125 0.250
0.989 0.625 0.250
0.375 0.239 0.750
0.875 0.011 0.750